Entry 1:
Entry from Alexandria via LeMat-Bulk: a relaxed TbSnS crystal (PBE).

**Density of states at the Fermi level**: 2.67 states/eV per cell
**Formation energy from raw total energies**: -0.997 eV/atom

```
data_TbSnS
_cell_length_a 3.831
_cell_length_b 3.831
_cell_length_c 13.558
_cell_angle_alpha 90.00
_cell_angle_beta 90.00
_cell_angle_gamma 119.99
_space_group_name_H-M_alt 'P 1'
_space_group_IT_number 1
_space_group_name_Hall 'P 1'
loop_
_atom_site_label
_atom_site_type_symbol
_atom_site_fract_x
_atom_site_fract_y
_atom_site_fract_z
Tb1 Tb 0.667 0.333 0.320
Tb2 Tb 0.667 0.333 0.680
Sn1 Sn 0.334 0.667 0.000
Sn2 Sn 0.334 0.667 0.500
S1 S 0.333 0.666 0.790
S2 S 0.333 0.666 0.210
```

=====

Entry 2:
Entry from Alexandria via LeMat-Bulk: a relaxed MnAlPt crystal (PBE).

**Density of states at the Fermi level**: 3.87 states/eV per cell
**Formation energy from the elements**: -0.6462 eV per atom

```
data_MnAlPt
_cell_length_a 4.352
_cell_length_b 4.352
_cell_length_c 5.361
_cell_angle_alpha 90.00
_cell_angle_beta 90.00
_cell_angle_gamma 120.00
_space_group_name_H-M_alt 'P 1'
_space_group_IT_number 1
_space_group_name_Hall 'P 1'
loop_
_atom_site_label
_atom_site_type_symbol
_atom_site_fract_x
_atom_site_fract_y
_atom_site_fract_z
Al1 Al 0.667 0.333 0.250
Al2 Al 0.333 0.667 0.750
Mn1 Mn 0.000 0.000 0.500
Mn2 Mn 0.000 0.000 0.000
Pt1 Pt 0.333 0.667 0.250
Pt2 Pt 0.667 0.333 0.750
```

=====

Entry 3:
Entry from Alexandria via LeMat-Bulk: a relaxed K2Tl7Cd crystal (PBE).

**Density of states at the Fermi level**: 5.75 states/eV per cell
**Polymorph energy (0 for the lowest one)**: 0 meV per atom
**Formation energy from the elements**: -0.0411 eV per atom

```
data_K2Tl7Cd
_cell_length_a 5.228
_cell_length_b 5.228
_cell_length_c 12.984
_cell_angle_alpha 90.00
_cell_angle_beta 90.00
_cell_angle_gamma 90.00
_space_group_name_H-M_alt 'P 1'
_space_group_IT_number 1
_space_group_name_Hall 'P 1'
loop_
_atom_site_label
_atom_site_type_symbol
_atom_site_fract_x
_atom_site_fract_y
_atom_site_fract_z
Tl1 Tl 0.500 0.000 0.360
Tl2 Tl 0.000 0.000 0.500
Tl3 Tl 0.500 0.500 0.500
Tl4 Tl 0.000 0.000 0.000
Tl5 Tl 0.000 0.500 0.873
Tl6 Tl 0.500 0.000 0.127
Tl7 Tl 0.000 0.500 0.640
Cd1 Cd 0.500 0.500 0.000
K1 K 0.500 0.000 0.756
K2 K 0.000 0.500 0.244
```

=====

Entry 4:
Entry from Alexandria via LeMat-Bulk: a relaxed MoRhSeN2 crystal (PBE).

**Density of states at the Fermi level**: 4.81 states/eV per cell
**Polymorph energy (0 for the lowest one)**: 0 meV per atom
**Formation energy from raw total energies**: 0.709 eV/atom

```
data_MoRhSeN2
_cell_length_a 3.845
_cell_length_b 3.845
_cell_length_c 5.340
_cell_angle_alpha 90.00
_cell_angle_beta 90.00
_cell_angle_gamma 90.00
_space_group_name_H-M_alt 'P 1'
_space_group_IT_number 1
_space_group_name_Hall 'P 1'
loop_
_atom_site_label
_atom_site_type_symbol
_atom_site_fract_x
_atom_site_fract_y
_atom_site_fract_z
Rh1 Rh 0.500 0.500 0.500
N1 N 0.000 0.500 0.000
N2 N 0.500 0.000 0.000
Se1 Se 0.000 0.000 0.500
Mo1 Mo 0.000 0.000 0.000
```

=====

Question: Which value of density of states at the Fermi level does entry 3 give?
Answer: 5.75 states/eV per cell

=====

What did the fourth record say?
Entry from Alexandria via LeMat-Bulk: a relaxed MoRhSeN2 crystal (PBE).

**Density of states at the Fermi level**: 4.81 states/eV per cell
**Polymorph energy (0 for the lowest one)**: 0 meV per atom
**Formation energy from raw total energies**: 0.709 eV/atom

```
data_MoRhSeN2
_cell_length_a 3.845
_cell_length_b 3.845
_cell_length_c 5.340
_cell_angle_alpha 90.00
_cell_angle_beta 90.00
_cell_angle_gamma 90.00
_space_group_name_H-M_alt 'P 1'
_space_group_IT_number 1
_space_group_name_Hall 'P 1'
loop_
_atom_site_label
_atom_site_type_symbol
_atom_site_fract_x
_atom_site_fract_y
_atom_site_fract_z
Rh1 Rh 0.500 0.500 0.500
N1 N 0.000 0.500 0.000
N2 N 0.500 0.000 0.000
Se1 Se 0.000 0.000 0.500
Mo1 Mo 0.000 0.000 0.000
```

=====

Question: Among the records above, which one has the highest density of states at the Fermi level?
Answer: K2Tl7Cd